{"formula": "Na12Pd3I5", "functional": "PBE", "state": "optimized geometry", "total_energy_ev_per_atom": -2.453, "formation_energy_uncorrected_mev_per_atom": -495, "sg": "Ia-3d, No. 230", "lattice": [[-14.925, 4.063, 0.397], [3.297, -6.186, -13.794], [2.815, -10.388, 11.117]], "species": ["I", "I", "I", "I", "I", "I", "I", "I", "I", "I", "I", "I", "I", "I", "I", "I", "I", "I", "I", "I", "Pd", "Pd", "Pd", "Pd", "Pd", "Pd", "Pd", "Pd", "Pd", "Pd", "Pd", "Pd", "Na", "Na", "Na", "Na", "Na", "Na", "Na", "Na", "Na", "Na", "Na", "Na", "Na", "Na", "Na", "Na", "Na", "Na", "Na", "Na", "Na", "Na", "Na", "Na", "Na", "Na", "Na", "Na", "Na", "Na", "Na", "Na", "Na", "Na", "Na", "Na", "Na", "Na", "Na", "Na", "Na", "Na", "Na", "Na", "Na", "Na", "Na", "Na"], "fractional_positions": [[0.000, 0.000, 0.000], [0.875, 0.625, 0.750], [0.875, 0.250, 0.625], [0.000, 0.500, 0.500], [0.625, 0.750, 0.875], [0.500, 0.000, 0.000], [0.500, 0.000, 0.500], [0.000, 0.000, 0.500], [0.250, 0.875, 0.125], [0.250, 0.375, 0.625], [0.125, 0.750, 0.375], [0.750, 0.625, 0.375], [0.000, 0.500, 0.000], [0.375, 0.250, 0.125], [0.375, 0.125, 0.750], [0.500, 0.500, 0.500], [0.625, 0.875, 0.250], [0.500, 0.500, 0.000], [0.750, 0.125, 0.875], [0.125, 0.375, 0.250], [0.125, 0.875, 0.750], [0.375, 0.625, 0.250], [0.250, 0.625, 0.875], [0.625, 0.375, 0.750], [0.750, 0.375, 0.125], [0.750, 0.875, 0.625], [0.250, 0.125, 0.375], [0.125, 0.250, 0.875], [0.625, 0.250, 0.375], [0.375, 0.750, 0.625], [0.875, 0.750, 0.125], [0.875, 0.125, 0.250], [0.429, 0.765, 0.852], [0.735, 0.588, 0.165], [0.912, 0.835, 0.765], [0.923, 0.088, 0.852], [0.071, 0.423, 0.835], [0.265, 0.852, 0.929], [0.852, 0.265, 0.429], [0.588, 0.852, 0.423], [0.335, 0.571, 0.423], [0.071, 0.648, 0.735], [0.088, 0.923, 0.352], [0.665, 0.235, 0.588], [0.648, 0.071, 0.235], [0.148, 0.412, 0.077], [0.077, 0.912, 0.148], [0.571, 0.335, 0.923], [0.412, 0.265, 0.335], [0.852, 0.588, 0.923], [0.077, 0.165, 0.429], [0.412, 0.148, 0.577], [0.765, 0.429, 0.352], [0.835, 0.912, 0.265], [0.923, 0.835, 0.571], [0.577, 0.929, 0.665], [0.577, 0.648, 0.412], [0.648, 0.577, 0.912], [0.423, 0.352, 0.588], [0.929, 0.577, 0.165], [0.588, 0.735, 0.665], [0.735, 0.148, 0.071], [0.929, 0.352, 0.265], [0.148, 0.735, 0.571], [0.235, 0.665, 0.088], [0.571, 0.235, 0.148], [0.088, 0.165, 0.235], [0.235, 0.571, 0.648], [0.423, 0.071, 0.335], [0.429, 0.665, 0.077], [0.835, 0.923, 0.071], [0.265, 0.412, 0.835], [0.665, 0.429, 0.577], [0.765, 0.335, 0.912], [0.352, 0.929, 0.765], [0.165, 0.077, 0.929], [0.335, 0.765, 0.412], [0.165, 0.088, 0.735], [0.352, 0.423, 0.088], [0.912, 0.077, 0.648]]}